## BaMnCl (GGA-PBE)

Data for a relaxed structure of BaMnCl.

Lattice parameters (Å, degrees): 4.245 4.245 6.815 90.00 90.00 120.00
Fractional positions:
Ba (0.000, 0.000, 0.000)
Mn (0.333, 0.667, 0.626)
Cl (0.667, 0.333, 0.292)

Output
Energy relative to the elements, uncorrected, eV per atom: -0.292
Symmetry: No. 156
Crystal system: trigonal